This record from the Alexandria database describes a geometry-optimized Nd2DyHo structure. The functional is PBE.

Lattice parameters (Å, degrees): 3.6233 3.6233 11.8772 81.23 81.23 60.00
Fractional positions:
Dy: 0.4998 0.4998 0.5006
Ho: 0.6671 0.6671 0.9986
Nd: 0.0833 0.0833 0.7502
Nd: 0.2498 0.2498 0.2506

Calculated values
For the calculated volume, the calculation gives 132.9 Å³/f.u. The energy above the most stable polymorph in this dataset is 0.130 kcal/mol of atoms. As for the density of states at the Fermi level: 1.4095 states/eV/atom.


This record from the Alexandria database describes a geometry-optimized Nd4Dy3Ho4 structure. The functional is PBE.

Lattice parameters (Å, degrees): 5.6914 6.6681 10.6541 90.00 90.00 115.26
Fractional positions:
Ho: 0.1037 0.2073 0.6974
Nd: 0.7554 0.5108 0.7923
Dy: 0.4104 0.8208 0.7118
Nd: 0.9607 0.9213 0.0000
Ho: 0.5523 0.1046 0.0000
Nd: 0.7554 0.5108 0.2077
Nd: 0.8823 0.7646 0.5000
Ho: 0.1037 0.2073 0.3026
Dy: 0.4104 0.8208 0.2882
Dy: 0.2543 0.5085 0.0000
Ho: 0.6101 0.2201 0.5000

Calculated values
For the calculated volume, the calculation gives 365.7 Å³/f.u. The energy above the most stable polymorph in this dataset is 0.623 kcal/mol of atoms. As for the density of states at the Fermi level: 1.5597 states/eV/atom.


Question: Among the records above, which one has the lowest calculated volume?
Answer: Nd2DyHo


Question: The lowest calculated volume belongs to which entry?
Answer: Nd2DyHo


Question: Which of these has the highest calculated volume?
Answer: Nd4Dy3Ho4